one.
An optimized crystal structure of Ca2AlBiAs. Source: Alexandria via LeMat-Bulk, functional PBE.

Calculated values
- V (Å³ per cell) = 152.62
- total moment (μB per cell) = 0.00

Lattice parameters (Å, degrees): 5.584 4.895 5.584 90.00 90.00 90.00
Sites, in units of the cell vectors:
Al 0.000 0.500 0.000
Ca 0.500 0.000 0.000
Ca 0.000 0.000 0.500
As 0.000 0.000 0.000
Bi 0.500 0.500 0.500

---

two.
An optimized crystal structure of Ca2AlBiAs. Source: Alexandria via LeMat-Bulk, functional PBE.

Calculated values
- V (Å³ per cell) = 296.26
- total moment (μB per cell) = 0.00

Lattice parameters (Å, degrees): 4.382 7.299 9.631 105.89 90.00 90.00
Sites, in units of the cell vectors:
Al 0.750 0.505 0.223
Al 0.250 0.495 0.777
As 0.250 0.835 0.816
As 0.750 0.165 0.184
Bi 0.250 0.736 0.327
Bi 0.750 0.264 0.673
Ca 0.750 0.770 0.606
Ca 0.750 0.771 0.012
Ca 0.250 0.229 0.988
Ca 0.250 0.230 0.394

---

Least stable: one

---

one.
An optimized crystal structure of AlHgBi2As. Source: Alexandria via LeMat-Bulk, functional PBE.

Calculated values
- V (Å³ per cell) = 161.11
- total moment (μB per cell) = 0.00

Lattice parameters (Å, degrees): 5.772 4.835 5.772 90.00 90.00 90.00
Sites, in units of the cell vectors:
Hg 0.000 0.000 0.000
Al 0.000 0.500 0.000
Bi 0.500 0.000 0.000
Bi 0.000 0.000 0.500
As 0.500 0.500 0.500

---

two.
An optimized crystal structure of AlHgBi2As. Source: Alexandria via LeMat-Bulk, functional PBE.

Calculated values
- V (Å³ per cell) = 165.67
- total moment (μB per cell) = 0.00

Lattice parameters (Å, degrees): 5.680 5.135 5.680 90.00 90.00 90.00
Sites, in units of the cell vectors:
As 0.000 0.000 0.000
Hg 0.000 0.500 0.000
Al 0.500 0.500 0.500
Bi 0.500 0.000 0.000
Bi 0.000 0.000 0.500

---

Least stable: one

---

one.
An optimized crystal structure of AlBiAs2Se. Source: Alexandria via LeMat-Bulk, functional PBE.

Calculated values
- V (Å³ per cell) = 167.04
- total moment (μB per cell) = 0.90

Lattice parameters (Å, degrees): 5.468 5.468 5.587 90.00 90.00 90.00
Each line ends with the local moment (μB).
Sites, in units of the cell vectors:
As 0.500 0.000 0.000  0.18
As 0.000 0.500 0.000  0.18
Bi 0.000 0.000 0.000  -0.01
Se 0.000 0.000 0.500  0.09
Al 0.500 0.500 0.500  0.00

---

two.
An optimized crystal structure of AlBiAs2Se. Source: Alexandria via LeMat-Bulk, functional PBE.

Calculated values
- V (Å³ per cell) = 118.85
- total moment (μB per cell) = 0.00

Lattice parameters (Å, degrees): 4.929 4.929 4.892 90.00 90.00 90.00
Sites, in units of the cell vectors:
As 0.000 0.500 0.000
As 0.500 0.000 0.000
Bi 0.500 0.500 0.500
Al 0.000 0.000 0.000
Se 0.000 0.000 0.500

---

Least stable: one

---

one.
An optimized crystal structure of Sr2AlBiAs. Source: Alexandria via LeMat-Bulk, functional PBE.

Calculated values
- V (Å³ per cell) = 332.38
- total moment (μB per cell) = 0.00

Lattice parameters (Å, degrees): 4.640 7.544 9.907 106.59 90.00 90.00
Sites, in units of the cell vectors:
Al 0.750 0.490 0.249
Al 0.250 0.510 0.751
Sr 0.250 0.217 0.398
Sr 0.750 0.783 0.602
Sr 0.250 0.245 0.989
Sr 0.750 0.755 0.011
As 0.250 0.840 0.819
As 0.750 0.160 0.181
Bi 0.250 0.704 0.303
Bi 0.750 0.296 0.697

---

two.
An optimized crystal structure of Sr2AlBiAs. Source: Alexandria via LeMat-Bulk, functional PBE.

Calculated values
- V (Å³ per cell) = 206.71
- total moment (μB per cell) = 0.00

Lattice parameters (Å, degrees): 6.269 5.259 6.269 90.00 90.00 90.00
Sites, in units of the cell vectors:
Al 0.000 0.500 0.000
Sr 0.500 0.000 0.000
Sr 0.000 0.000 0.500
Bi 0.000 0.000 0.000
As 0.500 0.500 0.500

---

Least stable: two

---

one.
An optimized crystal structure of Al2AsBr. Source: Alexandria via LeMat-Bulk, functional PBE.

Calculated values
- V (Å³ per cell) = 80.31
- total moment (μB per cell) = 0.00

Lattice parameters (Å, degrees): 4.843 4.843 4.843 60.00 60.00 60.00
Sites, in units of the cell vectors:
Br 0.500 0.500 0.500
Al 0.250 0.250 0.250
Al 0.750 0.750 0.750
As 0.000 0.000 0.000

---

two.
An optimized crystal structure of Al2AsBr. Source: Alexandria via LeMat-Bulk, functional PBE.

Calculated values
- V (Å³ per cell) = 98.51
- total moment (μB per cell) = 0.00

Lattice parameters (Å, degrees): 5.159 5.159 5.023 61.94 61.94 91.75
Sites, in units of the cell vectors:
Br 0.000 0.500 0.500
Al 0.500 0.500 0.000
Al 0.000 0.000 0.000
As 0.500 0.000 0.500

---

three.
An optimized crystal structure of Al2AsBr. Source: Alexandria via LeMat-Bulk, functional PBE.

Calculated values
- V (Å³ per cell) = 94.16
- total moment (μB per cell) = 0.00

Lattice parameters (Å, degrees): 7.040 7.040 7.040 148.65 148.65 44.93
Sites, in units of the cell vectors:
Al 0.000 0.000 0.000
Al 0.250 0.750 0.500
Br 0.750 0.250 0.500
As 0.500 0.500 0.000

---

Least stable: three

---

one.
An optimized crystal structure of AlAsBr. Source: Alexandria via LeMat-Bulk, functional PBE.

Calculated values
- V (Å³ per cell) = 524.45
- total moment (μB per cell) = 0.00

Lattice parameters (Å, degrees): 6.645 9.968 9.721 103.59 70.01 70.53
Sites, in units of the cell vectors:
Br 0.976 0.484 0.694
Br 0.362 0.711 0.244
Br 0.298 0.081 0.467
Br 0.683 0.211 0.744
Br 0.847 0.984 0.194
Br 0.154 0.581 0.967
Al 0.095 0.316 0.419
Al 0.162 0.564 0.216
Al 0.787 0.239 0.172
Al 0.171 0.816 0.919
Al 0.058 0.064 0.716
Al 0.802 0.739 0.672
As 0.392 0.293 0.165
As 0.744 0.649 0.430
As 0.178 0.149 0.930
As 0.453 0.913 0.944
As 0.150 0.793 0.665
As 0.690 0.413 0.444

---

two.
An optimized crystal structure of AlAsBr. Source: Alexandria via LeMat-Bulk, functional PBE.

Calculated values
- V (Å³ per cell) = 74.26
- total moment (μB per cell) = 0.00

Lattice parameters (Å, degrees): 7.426 7.426 7.426 154.78 154.78 35.96
Sites, in units of the cell vectors:
Br 0.621 0.621 0.000
Al 0.994 0.994 0.000
As 0.386 0.386 0.000

---

Least stable: two

---

one.
An optimized crystal structure of AlAsBr. Source: Alexandria via LeMat-Bulk, functional PBE.

Calculated values
- V (Å³ per cell) = 73.22
- total moment (μB per cell) = 0.00

Lattice parameters (Å, degrees): 3.997 3.997 5.294 90.00 90.00 120.00
Sites, in units of the cell vectors:
Br 0.333 0.667 0.710
Al 0.000 0.000 0.063
As 0.667 0.333 0.227

---

two.
An optimized crystal structure of AlAsBr. Source: Alexandria via LeMat-Bulk, functional PBE.

Calculated values
- V (Å³ per cell) = 79.61
- total moment (μB per cell) = 0.00

Lattice parameters (Å, degrees): 8.047 7.709 3.448 82.92 71.92 25.16
Sites, in units of the cell vectors:
Br 0.621 0.621 0.379
As 0.383 0.383 0.617
Al 0.996 0.996 0.004

---

three.
An optimized crystal structure of AlAsBr. Source: Alexandria via LeMat-Bulk, functional PBE.

Calculated values
- V (Å³ per cell) = 77.63
- total moment (μB per cell) = 0.00

Lattice parameters (Å, degrees): 3.490 3.490 7.359 90.00 90.00 120.00
Sites, in units of the cell vectors:
Al 0.000 0.000 0.008
Br 0.333 0.667 0.769
As 0.667 0.333 0.223

---

Least stable: two

---

one.
An optimized crystal structure of AlAsBr. Source: Alexandria via LeMat-Bulk, functional PBE.

Calculated values
- V (Å³ per cell) = 70.86
- total moment (μB per cell) = 0.00

Lattice parameters (Å, degrees): 4.645 4.645 4.645 60.00 60.00 60.00
Sites, in units of the cell vectors:
As 0.000 0.000 0.000
Br 0.500 0.500 0.500
Al 0.750 0.750 0.750

---

two.
An optimized crystal structure of AlAsBr. Source: Alexandria via LeMat-Bulk, functional PBE.

Calculated values
- V (Å³ per cell) = 86.15
- total moment (μB per cell) = 0.00

Lattice parameters (Å, degrees): 8.001 8.001 8.001 157.67 153.70 34.77
Sites, in units of the cell vectors:
Al 0.858 0.858 0.000
As 0.435 0.435 0.000
Br 0.706 0.706 0.000

---

Least stable: one

---

one.
An optimized crystal structure of AlAsCBr2. Source: Alexandria via LeMat-Bulk, functional PBE.

Calculated values
- V (Å³ per cell) = 101.11
- total moment (μB per cell) = 0.00

Lattice parameters (Å, degrees): 4.775 4.775 4.434 90.00 90.00 90.00
Sites, in units of the cell vectors:
Br 0.500 0.000 0.000
Br 0.000 0.500 0.000
C 0.000 0.000 0.000
Al 0.500 0.500 0.500
As 0.000 0.000 0.500

---

two.
An optimized crystal structure of AlAsCBr2. Source: Alexandria via LeMat-Bulk, functional PBE.

Calculated values
- V (Å³ per cell) = 126.96
- total moment (μB per cell) = 0.71

Lattice parameters (Å, degrees): 4.990 4.990 5.099 90.00 90.00 90.00
Each line ends with the local moment (μB).
Sites, in units of the cell vectors:
Br 0.500 0.000 0.000  0.00
Br 0.000 0.500 0.000  0.00
C 0.500 0.500 0.500  0.88
As 0.000 0.000 0.500  -0.51
Al 0.000 0.000 0.000  0.01

---

Least stable: two

---

one.
An optimized crystal structure of AlAs2CBr. Source: Alexandria via LeMat-Bulk, functional PBE.

Calculated values
- V (Å³ per cell) = 118.84
- total moment (μB per cell) = 0.84

Lattice parameters (Å, degrees): 4.916 4.916 4.918 90.00 90.00 90.00
Each line ends with the local moment (μB).
Sites, in units of the cell vectors:
Br 0.000 0.000 0.500  0.03
As 0.000 0.500 0.000  -0.20
As 0.500 0.000 0.000  -0.20
Al 0.000 0.000 0.000  0.00
C 0.500 0.500 0.500  0.80

---

two.
An optimized crystal structure of AlAs2CBr. Source: Alexandria via LeMat-Bulk, functional PBE.

Calculated values
- V (Å³ per cell) = 95.09
- total moment (μB per cell) = 0.00

Lattice parameters (Å, degrees): 4.330 4.330 5.072 90.00 90.00 90.00
Sites, in units of the cell vectors:
Br 0.000 0.000 0.500
As 0.000 0.500 0.000
As 0.500 0.000 0.000
C 0.000 0.000 0.000
Al 0.500 0.500 0.500

---

Least stable: one

---

one.
An optimized crystal structure of CaAlAs2Br. Source: Alexandria via LeMat-Bulk, functional PBE.

Calculated values
- V (Å³ per cell) = 172.71
- total moment (μB per cell) = 1.88

Lattice parameters (Å, degrees): 5.578 5.578 5.550 90.00 90.00 90.00
Each line ends with the local moment (μB).
Sites, in units of the cell vectors:
As 0.000 0.500 0.000  0.35
As 0.500 0.000 0.000  0.35
Ca 0.000 0.000 0.000  0.01
Al 0.500 0.500 0.500  0.02
Br 0.000 0.000 0.500  0.13

---

two.
An optimized crystal structure of CaAlAs2Br. Source: Alexandria via LeMat-Bulk, functional PBE.

Calculated values
- V (Å³ per cell) = 128.61
- total moment (μB per cell) = 0.00

Lattice parameters (Å, degrees): 4.797 4.797 5.588 90.00 90.00 90.00
Sites, in units of the cell vectors:
Ca 0.500 0.500 0.500
As 0.500 0.000 0.000
As 0.000 0.500 0.000
Al 0.000 0.000 0.000
Br 0.000 0.000 0.500

---

Least stable: one

---

one.
An optimized crystal structure of CaAlAsBr2. Source: Alexandria via LeMat-Bulk, functional PBE.

Calculated values
- V (Å³ per cell) = 185.02
- total moment (μB per cell) = 2.00

Lattice parameters (Å, degrees): 5.596 5.596 5.909 90.00 90.00 90.00
Each line ends with the local moment (μB).
Sites, in units of the cell vectors:
Br 0.000 0.500 0.000  0.06
Br 0.500 0.000 0.000  0.06
As 0.000 0.000 0.500  0.72
Ca 0.000 0.000 0.000  0.01
Al 0.500 0.500 0.500  0.02

---

two.
An optimized crystal structure of CaAlAsBr2. Source: Alexandria via LeMat-Bulk, functional PBE.

Calculated values
- V (Å³ per cell) = 132.73
- total moment (μB per cell) = 0.00

Lattice parameters (Å, degrees): 5.123 5.123 5.057 90.00 90.00 90.00
Sites, in units of the cell vectors:
Br 0.000 0.500 0.000
Br 0.500 0.000 0.000
Ca 0.500 0.500 0.500
Al 0.000 0.000 0.000
As 0.000 0.000 0.500

---

Least stable: one